No. 1
Material: Li4Cd2F
Method: DFT, PBE
State: optimized geometry

Structure (extended XYZ):
```
7
Lattice="-1.964 1.964 7.465 1.964 -1.964 7.465 1.964 1.964 -7.465" Properties=species:S:1:pos:R:3 pbc="T T T"
Li 1.964 0.000 0.000
Li 0.000 0.000 1.991
Li 0.000 1.964 0.000
Li 0.000 0.000 12.940
Cd 0.000 0.000 4.771
Cd 0.000 0.000 10.160
F 0.000 0.000 0.000
```

Properties
VASP energy = -2.474 eV/atom
D(E_F) = 0.304 states/eV/atom
total moment = 0.00 μB per cell
calculated volume = 16.46 Å³/atom
SG = I4/mmm, No. 139

***

No. 2
Material: LiMgCd2F
Method: DFT, PBE
State: optimized geometry

Structure (extended XYZ):
```
5
Lattice="5.395 0.000 0.000 0.000 5.395 0.000 0.000 0.000 5.575" Properties=species:S:1:pos:R:3 pbc="T T T"
Li 0.000 0.000 0.000
Mg 0.000 0.000 2.787
Cd 0.000 2.698 2.787
Cd 2.698 0.000 2.787
F 2.698 2.698 0.000
```

Properties
VASP energy = -1.463 eV/atom
D(E_F) = 0.455 states/eV/atom
total moment = 0.00 μB per cell
calculated volume = 32.45 Å³/atom
SG = P4/mmm, No. 123

***

No. 3
Material: LiMg2CdF8
Method: DFT, PBE
State: optimized geometry

Structure (extended XYZ):
```
12
Lattice="4.864 0.000 0.000 0.000 6.276 0.000 -0.120 0.000 4.897" Properties=species:S:1:pos:R:3 pbc="T T T"
Li 0.000 0.000 0.000
Mg 2.372 1.522 2.449
Mg 2.372 4.754 2.449
Cd 0.000 3.138 0.000
F 1.000 1.477 0.985
F 1.000 4.799 0.985
F 1.416 0.000 3.358
F 1.461 3.138 3.297
F 3.283 3.138 1.600
F 3.328 0.000 1.540
F 3.744 1.477 3.912
F 3.744 4.799 3.912
```

Properties
VASP energy = -4.513 eV/atom
D(E_F) = 0.569 states/eV/atom
total moment = 1.08 μB per cell
calculated volume = 12.46 Å³/atom
SG = P2/m, No. 10